Here is RbIBr2 after structural relaxation from Alexandria via LeMat-Bulk. Energies are from PBE-GGA.

Geometry as CIF:
```
data_RbIBr2
_cell_length_a 5.6475
_cell_length_b 5.6475
_cell_length_c 16.3279
_cell_angle_alpha 90.00
_cell_angle_beta 90.00
_cell_angle_gamma 120.00
_space_group_name_H-M_alt 'P 63/m m c'
_space_group_IT_number 194
_space_group_name_Hall '-P 6c 2c'
loop_
_atom_site_label
_atom_site_type_symbol
_atom_site_fract_x
_atom_site_fract_y
_atom_site_fract_z
Rb1 Rb 0.0000 0.0000 0.0000
I1 I 0.3333 0.6667 0.2500
Br1 Br 0.3333 0.6667 0.0824
```

ρ   2.74 g cm⁻³
Size of the total moment   0.00 μB per cell
Energy   -9.6 eV per formula unit



Here is RbIBr6 after structural relaxation from Alexandria via LeMat-Bulk. Energies are from PBE-GGA.

Geometry as CIF:
```
data_RbIBr6
_cell_length_a 9.0214
_cell_length_b 12.0159
_cell_length_c 6.8176
_cell_angle_alpha 90.00
_cell_angle_beta 113.16
_cell_angle_gamma 90.00
_space_group_name_H-M_alt 'C 1 2/m 1'
_space_group_IT_number 12
loop_
_space_group_symop_operation_xyz
'x,y,z'
'-x,-y,-z'
'-x,y,-z'
'x,-y,z'
'x+1/2,y+1/2,z'
'-x+1/2,-y+1/2,-z'
'-x+1/2,y+1/2,-z'
'x+1/2,-y+1/2,z'
loop_
_atom_site_label
_atom_site_type_symbol
_atom_site_fract_x
_atom_site_fract_y
_atom_site_fract_z
Rb1 Rb 0.0000 0.0000 0.0000
I1 I 0.0000 0.5000 0.5000
Br1 Br 0.1714 0.3133 0.8598
Br2 Br 0.2178 0.0000 0.5536
```

ρ   3.38 g cm⁻³
Size of the total moment   0.00 μB per cell
Energy   -16.1 eV per formula unit



Here is Rb5IBr6 after structural relaxation from Alexandria via LeMat-Bulk. Energies are from PBE-GGA.

Geometry as CIF:
```
data_Rb5IBr6
_cell_length_a 8.8272
_cell_length_b 14.7444
_cell_length_c 8.5103
_cell_angle_alpha 90.00
_cell_angle_beta 101.07
_cell_angle_gamma 90.00
_space_group_name_H-M_alt 'C 1 2/m 1'
_space_group_IT_number 12
loop_
_space_group_symop_operation_xyz
'x,y,z'
'-x,-y,-z'
'-x,y,-z'
'x,-y,z'
'x+1/2,y+1/2,z'
'-x+1/2,-y+1/2,-z'
'-x+1/2,y+1/2,-z'
'x+1/2,-y+1/2,z'
loop_
_atom_site_label
_atom_site_type_symbol
_atom_site_fract_x
_atom_site_fract_y
_atom_site_fract_z
Rb1 Rb 0.0000 0.0000 0.0000
Rb2 Rb 0.0000 0.2181 0.5000
Rb3 Rb 0.0000 0.3388 0.0000
I1 I 0.0000 0.5000 0.5000
Br1 Br 0.2081 0.1751 0.2171
Br2 Br 0.2076 0.5000 0.2965
```

ρ   3.16 g cm⁻³
Size of the total moment   0.00 μB per cell
Energy   -33.5 eV per formula unit



Here is Rb3I6Br after structural relaxation from Alexandria via LeMat-Bulk. Energies are from PBE-GGA.

Geometry as CIF:
```
data_Rb3I6Br
_cell_length_a 9.4789
_cell_length_b 9.4789
_cell_length_c 12.3776
_cell_angle_alpha 90.00
_cell_angle_beta 90.00
_cell_angle_gamma 90.00
_space_group_name_H-M_alt 'I 4/m m m'
_space_group_IT_number 139
_space_group_name_Hall '-I 4 2'
loop_
_atom_site_label
_atom_site_type_symbol
_atom_site_fract_x
_atom_site_fract_y
_atom_site_fract_z
Rb1 Rb 0.0000 0.0000 0.0000
Rb2 Rb 0.0000 0.5000 0.2500
I1 I 0.0000 0.0000 0.2785
I2 I 0.2435 0.2435 0.5000
Br1 Br 0.0000 0.0000 0.5000
```

ρ   3.28 g cm⁻³
Size of the total moment   4.00 μB per cell
Energy   -19.9 eV per formula unit



Here is Rb6I5Br after structural relaxation from Alexandria via LeMat-Bulk. Energies are from PBE-GGA.

Geometry as CIF:
```
data_Rb6I5Br
_cell_length_a 9.0667
_cell_length_b 15.6896
_cell_length_c 9.0530
_cell_angle_alpha 90.00
_cell_angle_beta 109.58
_cell_angle_gamma 90.00
_space_group_name_H-M_alt 'C 1 2/m 1'
_space_group_IT_number 12
loop_
_space_group_symop_operation_xyz
'x,y,z'
'-x,-y,-z'
'-x,y,-z'
'x,-y,z'
'x+1/2,y+1/2,z'
'-x+1/2,-y+1/2,-z'
'-x+1/2,y+1/2,-z'
'x+1/2,-y+1/2,z'
loop_
_atom_site_label
_atom_site_type_symbol
_atom_site_fract_x
_atom_site_fract_y
_atom_site_fract_z
Rb1 Rb 0.2410 0.0000 0.2560
Rb2 Rb 0.2424 0.1615 0.7429
I1 I 0.0000 0.1693 0.0000
I2 I 0.0000 0.3339 0.5000
I3 I 0.0000 0.5000 0.0000
Br1 Br 0.0000 0.0000 0.5000
```

ρ   3.36 g cm⁻³
Size of the total moment   0.00 μB per cell
Energy   -33.7 eV per formula unit



Here is Rb5I4Br after structural relaxation from Alexandria via LeMat-Bulk. Energies are from PBE-GGA.

Geometry as CIF:
```
data_Rb5I4Br
_cell_length_a 5.2244
_cell_length_b 5.2244
_cell_length_c 36.8701
_cell_angle_alpha 90.00
_cell_angle_beta 90.00
_cell_angle_gamma 90.00
_space_group_name_H-M_alt 'I 4/m m m'
_space_group_IT_number 139
_space_group_name_Hall '-I 4 2'
loop_
_atom_site_label
_atom_site_type_symbol
_atom_site_fract_x
_atom_site_fract_y
_atom_site_fract_z
Rb1 Rb 0.0000 0.0000 0.0000
Rb2 Rb 0.0000 0.0000 0.1996
Rb3 Rb 0.0000 0.0000 0.4043
I1 I 0.0000 0.0000 0.0992
I2 I 0.0000 0.0000 0.3011
Br1 Br 0.0000 0.0000 0.5000
```

ρ   3.35 g cm⁻³
Size of the total moment   0.00 μB per cell
Energy   -28.1 eV per formula unit



Here is Rb5I2Br2 after structural relaxation from Alexandria via LeMat-Bulk. Energies are from PBE-GGA.

Geometry as CIF:
```
data_Rb5I2Br2
_cell_length_a 18.6051
_cell_length_b 9.7354
_cell_length_c 9.8309
_cell_angle_alpha 90.00
_cell_angle_beta 90.00
_cell_angle_gamma 90.00
_space_group_name_H-M_alt 'C m c e'
_space_group_IT_number 64
_space_group_name_Hall '-C 2ac 2'
loop_
_atom_site_label
_atom_site_type_symbol
_atom_site_fract_x
_atom_site_fract_y
_atom_site_fract_z
Rb1 Rb 0.0000 0.0000 0.0000
Rb2 Rb 0.1324 0.1564 0.3457
I1 I 0.1977 0.0000 0.0000
Br1 Br 0.0000 0.1589 0.6621
```

ρ   3.14 g cm⁻³
Size of the total moment   0.00 μB per cell
Energy   -23.4 eV per formula unit



Here is RbI2Br6 after structural relaxation from Alexandria via LeMat-Bulk. Energies are from PBE-GGA.

Geometry as CIF:
```
data_RbI2Br6
_cell_length_a 14.4615
_cell_length_b 15.5764
_cell_length_c 8.7454
_cell_angle_alpha 90.00
_cell_angle_beta 122.24
_cell_angle_gamma 90.00
_space_group_name_H-M_alt 'C 1 2/c 1'
_space_group_IT_number 15
loop_
_space_group_symop_operation_xyz
'x,y,z'
'-x,-y,-z'
'-x,y,-z+1/2'
'x,-y,z+1/2'
'x+1/2,y+1/2,z'
'-x+1/2,-y+1/2,-z'
'-x+1/2,y+1/2,-z+1/2'
'x+1/2,-y+1/2,z+1/2'
loop_
_atom_site_label
_atom_site_type_symbol
_atom_site_fract_x
_atom_site_fract_y
_atom_site_fract_z
Rb1 Rb 0.0000 0.1894 0.2500
I1 I 0.1644 0.4447 0.6612
Br1 Br 0.0930 0.3901 0.0964
Br2 Br 0.1054 0.0094 0.1113
Br3 Br 0.2176 0.2790 0.6987
```

Energy above the lowest structure with this stoichiometry   0.000 eV per atom
ρ   3.26 g cm⁻³
Size of the total moment   0.00 μB per cell
Energy   -17.8 eV per formula unit



Here is Rb5I3Br2 after structural relaxation from Alexandria via LeMat-Bulk. Energies are from PBE-GGA.

Geometry as CIF:
```
data_Rb5I3Br2
_cell_length_a 17.0794
_cell_length_b 5.1176
_cell_length_c 12.7439
_cell_angle_alpha 90.00
_cell_angle_beta 119.95
_cell_angle_gamma 90.00
_space_group_name_H-M_alt 'C 1 2/m 1'
_space_group_IT_number 12
loop_
_space_group_symop_operation_xyz
'x,y,z'
'-x,-y,-z'
'-x,y,-z'
'x,-y,z'
'x+1/2,y+1/2,z'
'-x+1/2,-y+1/2,-z'
'-x+1/2,y+1/2,-z'
'x+1/2,-y+1/2,z'
loop_
_atom_site_label
_atom_site_type_symbol
_atom_site_fract_x
_atom_site_fract_y
_atom_site_fract_z
Rb1 Rb 0.0000 0.0000 0.0000
Rb2 Rb 0.0966 0.5000 0.3893
Rb3 Rb 0.1967 0.0000 0.8153
I1 I 0.0000 0.0000 0.5000
I2 I 0.2057 0.0000 0.2972
Br1 Br 0.0985 0.5000 0.9042
```

ρ   3.33 g cm⁻³
Size of the total moment   0.00 μB per cell
Energy   -28.8 eV per formula unit



Here is RbIBr4 after structural relaxation from Alexandria via LeMat-Bulk. Energies are from PBE-GGA.

Geometry as CIF:
```
data_RbIBr4
_cell_length_a 6.0781
_cell_length_b 10.5719
_cell_length_c 9.4242
_cell_angle_alpha 90.00
_cell_angle_beta 102.39
_cell_angle_gamma 90.00
_space_group_name_H-M_alt 'P 1 21/m 1'
_space_group_IT_number 11
loop_
_space_group_symop_operation_xyz
'x,y,z'
'-x,-y,-z'
'-x,y+1/2,-z'
'x,-y+1/2,z'
loop_
_atom_site_label
_atom_site_type_symbol
_atom_site_fract_x
_atom_site_fract_y
_atom_site_fract_z
Rb1 Rb 0.2326 0.2500 0.1911
I1 I 0.1223 0.7500 0.3628
Br1 Br 0.0399 0.5702 0.1225
Br2 Br 0.2206 0.7500 0.6638
Br3 Br 0.3733 0.2500 0.6233
```

Energy above the lowest structure with this stoichiometry   0.125 eV per atom
ρ   2.99 g cm⁻³
Size of the total moment   0.00 μB per cell
Energy   -12.3 eV per formula unit